A plane-wave DFT calculation with PBE-GGA was carried out for a relaxed TiFe3Sb crystal.

```
5
Lattice="-3.801 1.873 1.968 -2.312 -0.452 -4.035 -1.427 -4.256 1.294" Properties=species:S:1:pos:R:3 pbc="T T T"
Sb 0.000 0.000 0.000
Fe -1.156 -0.226 -2.017
Fe -0.714 -2.128 0.647
Fe -1.900 0.937 0.984
Ti -3.770 -1.417 -0.386
```

Calculated values
Energy above the lowest structure with this stoichiometry   3 meV/atom
Electronic total energy   -31.48 eV/cell
Uncorrected formation energy   1.186 eV/atom
Calculated volume   102.0 Å³/f.u.

***

A plane-wave DFT calculation with PBE-GGA was carried out for a relaxed TiVFeSb crystal.

```
4
Lattice="4.381 0.000 0.000 2.190 3.794 0.000 2.190 1.265 3.577" Properties=species:S:1:pos:R:3 pbc="T T T"
Sb 6.571 3.794 2.683
Ti 2.190 1.265 0.894
Fe 0.000 0.000 0.000
V 4.381 2.529 1.788
```

Calculated values
Electronic total energy   -30.00 eV/cell
Uncorrected formation energy   -0.101 eV/atom
Calculated volume   59.5 Å³/f.u.

***

A plane-wave DFT calculation with PBE-GGA was carried out for a relaxed TlFeSb2 crystal.

```
4
Lattice="10.046 -0.046 -0.027 9.483 3.317 -0.027 9.483 1.588 2.912" Properties=species:S:1:pos:R:3 pbc="T T T"
Fe 21.760 3.645 2.144
Sb 0.670 0.112 0.066
Sb 13.837 2.317 1.363
Tl 7.253 1.215 0.715
```

Calculated values
Energy above the lowest structure with this stoichiometry   1 meV/atom
Electronic total energy   -18.60 eV/cell
Uncorrected formation energy   0.119 eV/atom
Calculated volume   99.1 Å³/f.u.

***

A plane-wave DFT calculation with PBE-GGA was carried out for a relaxed TlFe2Sb crystal.

```
4
Lattice="5.389 0.013 0.000 2.433 4.808 0.000 -3.911 -2.411 2.817" Properties=species:S:1:pos:R:3 pbc="T T T"
Fe 0.000 0.000 0.000
Fe 1.217 2.404 1.408
Sb 3.911 2.411 0.000
Tl 2.694 0.006 1.408
```

Calculated values
Energy above the lowest structure with this stoichiometry   340 meV/atom
Electronic total energy   -21.05 eV/cell
Uncorrected formation energy   0.592 eV/atom
Calculated volume   72.9 Å³/f.u.

***

A plane-wave DFT calculation with PBE-GGA was carried out for a relaxed TlFe2Sb crystal.

```
4
Lattice="-2.749 -0.799 -3.093 0.277 -1.684 -3.853 -1.667 -6.573 1.022" Properties=species:S:1:pos:R:3 pbc="T T T"
Fe -1.570 -6.091 0.850
Fe -3.163 -7.079 -4.343
Sb -2.232 -5.191 -2.836
Tl -0.911 -1.796 -1.536
```

Calculated values
Energy above the lowest structure with this stoichiometry   123 meV/atom
Electronic total energy   -21.92 eV/cell
Uncorrected formation energy   0.374 eV/atom
Calculated volume   83.8 Å³/f.u.

***

A plane-wave DFT calculation with PBE-GGA was carried out for a relaxed TlFe2Sb crystal.

```
4
Lattice="8.417 -0.010 -0.006 7.811 3.136 -0.006 7.811 1.505 2.751" Properties=species:S:1:pos:R:3 pbc="T T T"
Fe 23.932 4.610 2.727
Fe 12.127 2.336 1.382
Sb 6.010 1.158 0.685
Tl 18.029 3.473 2.055
```

Calculated values
Energy above the lowest structure with this stoichiometry   307 meV/atom
Electronic total energy   -21.18 eV/cell
Uncorrected formation energy   0.558 eV/atom
Calculated volume   73.0 Å³/f.u.

***

A plane-wave DFT calculation with PBE-GGA was carried out for a relaxed TlFeSb crystal.

```
6
Lattice="-3.472 0.495 -2.162 -2.156 -1.693 3.076 -1.103 7.922 3.586" Properties=species:S:1:pos:R:3 pbc="T T T"
Sb -1.447 1.805 2.738
Sb -2.470 5.518 1.305
Tl -2.007 5.825 4.558
Tl -1.910 1.498 -0.515
Fe -0.551 3.961 1.793
Fe -3.366 3.362 2.250
```

Calculated values
Electronic total energy   -28.62 eV/cell
Uncorrected formation energy   0.213 eV/atom
Calculated volume   74.4 Å³/f.u.

***

A plane-wave DFT calculation with PBE-GGA was carried out for a relaxed TlFe2Sb crystal.

```
4
Lattice="-0.251 2.904 -1.142 -2.709 -0.772 -1.367 -3.992 2.262 6.633" Properties=species:S:1:pos:R:3 pbc="T T T"
Fe -0.253 0.144 0.421
Fe -2.303 1.532 0.113
Sb -1.641 0.930 2.726
Tl -4.751 2.920 4.181
```

Calculated values
Energy above the lowest structure with this stoichiometry   0 meV/atom
Electronic total energy   -22.41 eV/cell
Uncorrected formation energy   0.251 eV/atom
Calculated volume   79.0 Å³/f.u.